First-principles (PBE-GGA) data for crystalline Pr3DyN at its relaxed geometry, as listed in Alexandria via LeMat-Bulk.

```
Pr3DyN
1.0
5.189 0.000 0.000
0.000 5.189 0.000
0.000 0.000 5.189
Pr Dy N
3 1 1
Cartesian
0.000 0.000 2.595
0.000 2.595 0.000
2.595 0.000 0.000
2.595 2.595 2.595
0.000 0.000 0.000
```

## Properties
Calculated density in Mg/m³: 7.12
Formation energy without anion corrections in eV/atom: -0.43
VASP energy in eV/atom: -5.8806
Symmetry: Pm-3m (221)

First-principles (PBE-GGA) data for crystalline PrDyN at its relaxed geometry, as listed in Alexandria via LeMat-Bulk.

```
PrDyN
1.0
-2.383 2.383 3.927
2.383 -2.383 3.927
2.383 2.383 -3.927
Pr Dy N
1 1 1
Cartesian
0.000 0.000 0.000
0.000 0.000 4.197
0.000 0.000 2.161
```

## Properties
Calculated density in Mg/m³: 5.91
Formation energy without anion corrections in eV/atom: 0.19
VASP energy in eV/atom: -5.7136
Symmetry: I4mm (107)

First-principles (PBE-GGA) data for crystalline Pr5DyN6 at its relaxed geometry, as listed in Alexandria via LeMat-Bulk.

```
Pr5DyN6
1.0
3.167 -5.486 0.000
3.167 5.486 0.000
-2.110 0.000 5.969
Pr Dy N
5 1 6
Cartesian
0.000 0.000 0.000
2.112 3.654 2.984
3.167 1.813 0.000
3.167 -1.813 0.000
2.112 -3.654 2.984
2.112 0.000 2.984
1.084 1.780 1.523
0.054 0.000 4.456
1.084 -1.780 1.523
3.141 1.780 4.446
4.170 0.000 1.513
3.141 -1.780 4.446
```

## Properties
Calculated density in Mg/m³: 7.61
Formation energy without anion corrections in eV/atom: -1.34
VASP energy in eV/atom: -7.8776
Symmetry: C2/m (12)